Arrangement a

Y2MgSe after structural relaxation, computed with PBEsol.

The structure in POSCAR format:
```
Y2MgSe
1.0
-4.050 4.050 3.250
4.050 -4.050 3.250
4.050 4.050 -3.250
Y Mg Se
4 2 2
Direct
0.085 0.625 0.960
0.375 0.335 0.460
0.665 0.125 0.040
0.875 0.915 0.540
0.250 0.750 0.500
0.500 0.500 0.000
0.000 0.000 0.000
0.750 0.250 0.500
```

Results
D(E_F)	1.0195	states/eV/atom
SG	I-42d, No. 122
size of the total moment	0.90	μB per formula unit
theoretical density	4.378	g cm⁻³

=====

Arrangement b

Y2MgSe after structural relaxation, computed with PBEsol.

The structure in POSCAR format:
```
Y2MgSe
1.0
5.210 0.000 0.000
0.000 5.210 0.000
0.000 0.000 3.513
Y Mg Se
2 1 1
Direct
0.000 0.500 0.000
0.500 0.000 0.000
0.000 0.000 0.500
0.500 0.500 0.500
```

Results
D(E_F)	0.8760	states/eV/atom
SG	P4/mmm, No. 123
size of the total moment	0.00	μB per formula unit
theoretical density	4.895	g cm⁻³

=====

Most stable: arrangement b (next structure +88 meV/atom)

=====

Arrangement a

Y2MgSe after structural relaxation, computed with PBEsol.

The structure in POSCAR format:
```
Y2MgSe
1.0
1.912 1.104 8.294
-1.912 1.104 8.294
0.000 -2.208 8.294
Y Mg Se
2 1 1
Direct
0.236 0.236 0.236
0.764 0.764 0.764
0.000 0.000 0.000
0.500 0.500 0.500
```

Results
D(E_F)	0.6180	states/eV/atom
SG	R-3m, No. 166
size of the total moment	0.00	μB per formula unit
theoretical density	4.444	g cm⁻³

=====

Arrangement b

Y2MgSe after structural relaxation, computed with PBEsol.

The structure in POSCAR format:
```
Y2MgSe
1.0
-1.777 2.476 5.634
1.777 -2.476 5.634
1.777 2.476 -5.634
Y Mg Se
2 1 1
Direct
0.000 0.000 0.000
0.723 0.223 0.500
0.305 0.805 0.500
0.518 0.518 0.000
```

Results
D(E_F)	0.8598	states/eV/atom
SG	Imm2, No. 44
size of the total moment	0.00	μB per formula unit
theoretical density	4.709	g cm⁻³

=====

Most stable: arrangement a (next structure +222 meV/atom)

=====

Arrangement a

YMgSe after structural relaxation, computed with PBEsol.

The structure in POSCAR format:
```
YMgSe
1.0
0.000 3.456 3.456
3.456 0.000 3.456
3.456 3.456 0.000
Y Mg Se
1 1 1
Direct
0.000 0.000 0.000
0.750 0.750 0.750
0.250 0.250 0.250
```

Results
D(E_F)	1.3185	states/eV/atom
SG	F-43m, No. 216
size of the total moment	0.04	μB per formula unit
theoretical density	3.866	g cm⁻³

=====

Arrangement b

YMgSe after structural relaxation, computed with PBEsol.

The structure in POSCAR format:
```
YMgSe
1.0
3.773 0.000 0.000
-1.886 3.267 0.000
0.000 0.000 6.167
Y Mg Se
1 1 1
Direct
0.000 0.000 0.000
0.333 0.667 0.574
0.667 0.333 0.296
```

Results
D(E_F)	0.9676	states/eV/atom
SG	P3m1, No. 156
size of the total moment	0.39	μB per formula unit
theoretical density	4.198	g cm⁻³

=====

Most stable: arrangement b (next structure +586 meV/atom)

=====

Arrangement a

Y2MgSe4 after structural relaxation, computed with PBEsol.

The structure in POSCAR format:
```
Y2MgSe4
1.0
-4.215 4.215 4.389
4.215 -4.215 4.389
4.215 4.215 -4.389
Y Mg Se
4 2 8
Direct
0.001 0.625 0.876
0.375 0.251 0.376
0.749 0.125 0.124
0.875 0.999 0.624
0.250 0.750 0.500
0.500 0.500 0.000
0.000 0.877 0.260
0.123 0.383 0.123
0.133 0.373 0.623
0.260 0.000 0.877
0.490 0.867 0.240
0.617 0.740 0.740
0.627 0.250 0.760
0.750 0.510 0.377
```

Results
D(E_F)	0.0000	states/eV/atom
SG	I-42d, No. 122
size of the total moment	0.00	μB per formula unit
theoretical density	5.516	g cm⁻³

=====

Arrangement b

Y2MgSe4 after structural relaxation, computed with PBEsol.

The structure in POSCAR format:
```
Y2MgSe4
1.0
0.000 5.771 5.771
5.771 0.000 5.771
5.771 5.771 0.000
Y Mg Se
4 2 8
Direct
0.000 0.000 0.000
0.000 0.000 0.500
0.000 0.500 0.000
0.500 0.000 0.000
0.375 0.375 0.375
0.625 0.625 0.625
0.236 0.755 0.755
0.245 0.245 0.245
0.245 0.245 0.764
0.245 0.764 0.245
0.755 0.236 0.755
0.755 0.755 0.236
0.755 0.755 0.755
0.764 0.245 0.245
```

Results
SG	Fd-3m, No. 227
size of the total moment	0.00	μB per formula unit
theoretical density	4.476	g cm⁻³

=====

Arrangement c

Y2MgSe4 after structural relaxation, computed with PBEsol.

The structure in POSCAR format:
```
Y2MgSe4
1.0
13.013 0.000 0.000
0.000 3.967 0.000
0.000 0.000 13.786
Y Mg Se
8 4 16
Direct
0.115 0.250 0.076
0.142 0.250 0.702
0.358 0.750 0.202
0.385 0.750 0.576
0.615 0.250 0.424
0.642 0.250 0.798
0.858 0.750 0.298
0.885 0.750 0.924
0.113 0.750 0.451
0.387 0.250 0.951
0.613 0.750 0.049
0.887 0.250 0.549
0.009 0.750 0.618
0.031 0.250 0.882
0.221 0.250 0.253
0.241 0.250 0.513
0.259 0.750 0.013
0.279 0.750 0.753
0.469 0.750 0.382
0.491 0.250 0.118
0.509 0.750 0.882
0.531 0.250 0.618
0.721 0.250 0.247
0.741 0.250 0.987
0.759 0.750 0.487
0.779 0.750 0.747
0.969 0.750 0.118
0.991 0.250 0.382
```

Results
SG	Pnma, No. 62
size of the total moment	0.00	μB per formula unit
theoretical density	4.835	g cm⁻³

=====

Most stable: arrangement b (next structure +25 meV/atom)

=====

Arrangement a

Mg2ZnSe after structural relaxation, computed with PBEsol.

The structure in POSCAR format:
```
Mg2ZnSe
1.0
3.150 -3.469 0.000
3.150 3.469 0.000
0.000 0.000 3.504
Mg Zn Se
2 1 1
Direct
0.000 0.500 0.000
0.500 0.000 0.000
0.000 0.000 0.500
0.500 0.500 0.500
```

Results
D(E_F)	0.4195	states/eV/atom
SG	Cmmm, No. 65
size of the total moment	0.00	μB per formula unit
theoretical density	4.184	g cm⁻³

=====

Arrangement b

Mg2ZnSe after structural relaxation, computed with PBEsol.

The structure in POSCAR format:
```
Mg2ZnSe
1.0
3.776 0.000 0.000
0.000 3.776 0.000
0.000 0.000 5.787
Mg Zn Se
2 1 1
Direct
0.000 0.000 0.000
0.500 0.500 0.398
0.500 0.500 0.910
0.000 0.000 0.482
```

Results
D(E_F)	0.4775	states/eV/atom
SG	P4mm, No. 99
size of the total moment	0.00	μB per formula unit
theoretical density	3.884	g cm⁻³

=====

Most stable: arrangement b (next structure +26 meV/atom)

=====

Arrangement a

MgZnSe after structural relaxation, computed with PBEsol.

The structure in POSCAR format:
```
MgZnSe
1.0
3.737 0.000 0.000
0.000 3.737 0.000
0.000 0.000 8.515
Mg Zn Se
2 2 2
Direct
0.250 0.250 0.151
0.750 0.750 0.849
0.250 0.750 0.500
0.750 0.250 0.500
0.250 0.250 0.831
0.750 0.750 0.169
```

Results
D(E_F)	0.1664	states/eV/atom
SG	P4/nmm, No. 129
size of the total moment	0.00	μB per formula unit
theoretical density	4.710	g cm⁻³

=====

Arrangement b

MgZnSe after structural relaxation, computed with PBEsol.

The structure in POSCAR format:
```
MgZnSe
1.0
4.428 0.000 0.000
-2.214 3.835 0.000
0.000 0.000 3.589
Mg Zn Se
1 1 1
Direct
0.000 0.000 0.000
0.667 0.333 0.000
0.333 0.667 0.500
```

Results
D(E_F)	0.3518	states/eV/atom
SG	P-6m2, No. 187
size of the total moment	0.00	μB per formula unit
theoretical density	4.596	g cm⁻³

=====

Most stable: arrangement a (next structure +558 meV/atom)